# Ba4Pu3VO12

A relaxed Ba4Pu3VO12 crystal (PBE+U, Alexandria via LeMat-Bulk).

```
20
Lattice="7.480 0.000 0.000 -2.493 7.052 0.000 -2.493 -3.526 6.107" Properties=species:S:1:pos:R:3 pbc="T T T"
O 3.740 0.000 3.054
Ba 3.740 0.000 0.000
Ba -1.247 -1.763 3.054
Pu -2.493 1.763 3.054
V 0.000 0.000 0.000
Pu 2.493 -1.763 3.054
O 1.247 4.408 1.527
O -3.744 2.647 4.585
Ba -1.247 3.526 0.000
O 3.740 2.645 1.527
O 1.243 -0.879 1.522
O 3.744 -2.647 4.585
O 1.247 -0.882 4.580
O 1.243 1.758 0.000
Pu 2.493 3.526 0.000
O -1.247 0.882 4.580
O 3.744 5.294 0.000
Ba 1.247 1.763 3.054
O -1.247 3.526 3.054
O -1.243 0.879 1.522
```

- space-group type = Im-3m (229)
- E (Ry per atom) = -0.639
- total magnetization (μB/f.u.) = 13.00